(1)
Material: MnAuS2
Method: DFT, GGA-PBE
State: optimized geometry

Output
raw formation energy	-20	kJ/mol of atoms
DOS at the Fermi energy	1.27	states/eV/f.u.
E	-5.385	eV per atom
calculated volume	168	Å³/cell
M_tot	3.0	μB per formula unit

```
data_MnAuS2
_chemical_formula_sum 'Mn2 Au2 S4'
_cell_length_a 5.562
_cell_length_b 6.093
_cell_length_c 6.194
_cell_angle_alpha 112.91
_cell_angle_beta 112.26
_cell_angle_gamma 98.18
_symmetry_space_group_name_H-M 'P 1'
_symmetry_Int_Tables_number 1
_symmetry_space_group_name_Hall 'P 1'
loop_
_atom_site_label
_atom_site_fract_x
_atom_site_fract_y
_atom_site_fract_z
Mn1 0.000 0.000 0.000
Mn2 0.259 0.492 0.211
Au1 0.496 0.751 0.978
Au2 0.918 0.355 0.676
S1 0.233 0.170 0.848
S2 0.328 0.902 0.285
S3 0.647 0.629 0.654
S4 0.912 0.315 0.244
```

***

(2)
Material: MnAuS2
Method: DFT, GGA-PBE
State: optimized geometry

Output
raw formation energy	-9	kJ/mol of atoms
DOS at the Fermi energy	2.44	states/eV/f.u.
E	-5.270	eV per atom
calculated volume	299	Å³/cell
M_tot	0.0	μB per formula unit

```
data_MnAuS2
_chemical_formula_sum 'Mn4 Au4 S8'
_cell_length_a 6.633
_cell_length_b 7.239
_cell_length_c 6.227
_cell_angle_alpha 90.00
_cell_angle_beta 90.00
_cell_angle_gamma 90.00
_symmetry_space_group_name_H-M 'P n a 21'
_symmetry_Int_Tables_number 33
_symmetry_space_group_name_Hall 'P 2c -2n'
loop_
_atom_site_label
_atom_site_fract_x
_atom_site_fract_y
_atom_site_fract_z
Mn1 0.040 0.125 0.000
Au1 0.122 0.548 0.010
S1 0.045 0.132 0.653
S2 0.154 0.655 0.607
```

***

(3)
Material: MnAuS2
Method: DFT, GGA-PBE
State: optimized geometry

Output
raw formation energy	-8	kJ/mol of atoms
DOS at the Fermi energy	1.11	states/eV/f.u.
E	-5.261	eV per atom
calculated volume	319	Å³/cell
M_tot	0.0	μB per formula unit

```
data_MnAuS2
_chemical_formula_sum 'Mn4 Au4 S8'
_cell_length_a 7.814
_cell_length_b 7.814
_cell_length_c 5.228
_cell_angle_alpha 90.00
_cell_angle_beta 90.00
_cell_angle_gamma 90.00
_symmetry_space_group_name_H-M 'I 4/m c m'
_symmetry_Int_Tables_number 140
_symmetry_space_group_name_Hall '-I 4 2c'
loop_
_atom_site_label
_atom_site_fract_x
_atom_site_fract_y
_atom_site_fract_z
Mn1 0.000 0.500 0.250
Au1 0.000 0.000 0.250
S1 0.150 0.350 0.000
```

***

(4)
Material: Mn3AuS
Method: DFT, GGA-PBE
State: optimized geometry

Output
raw formation energy	39	kJ/mol of atoms
DOS at the Fermi energy	8.35	states/eV/f.u.
E	-6.583	eV per atom
energy relative to the lowest polymorph listed for this composition	0	meV per atom
calculated volume	69	Å³/cell
M_tot	0.0	μB per formula unit

```
data_Mn3AuS
_chemical_formula_sum 'Mn3 Au1 S1'
_cell_length_a 4.106
_cell_length_b 4.106
_cell_length_c 4.106
_cell_angle_alpha 90.00
_cell_angle_beta 90.00
_cell_angle_gamma 90.00
_symmetry_space_group_name_H-M 'P m -3 m'
_symmetry_Int_Tables_number 221
_symmetry_space_group_name_Hall '-P 4 2 3'
loop_
_atom_site_label
_atom_site_fract_x
_atom_site_fract_y
_atom_site_fract_z
Mn1 0.000 0.000 0.500
Au1 0.500 0.500 0.500
S1 0.000 0.000 0.000
```

***

(5)
Material: MnAuS2
Method: DFT, GGA-PBE
State: optimized geometry

Output
raw formation energy	-20	kJ/mol of atoms
DOS at the Fermi energy	2.28	states/eV/f.u.
E	-5.383	eV per atom
calculated volume	306	Å³/cell
M_tot	1.3	μB per formula unit

```
data_MnAuS2
_chemical_formula_sum 'Mn4 Au4 S8'
_cell_length_a 11.516
_cell_length_b 5.208
_cell_length_c 5.839
_cell_angle_alpha 90.00
_cell_angle_beta 118.99
_cell_angle_gamma 90.00
_symmetry_space_group_name_H-M 'C 1 2/m 1'
_symmetry_Int_Tables_number 12
_symmetry_space_group_name_Hall '-C 2y'
loop_
_atom_site_label
_atom_site_fract_x
_atom_site_fract_y
_atom_site_fract_z
Mn1 0.000 0.245 0.000
Au1 0.122 0.000 0.720
S1 0.134 0.500 0.941
S2 0.141 0.000 0.323
```

***

(6)
Material: MnAuS2
Method: DFT, GGA-PBE
State: optimized geometry

Output
raw formation energy	-19	kJ/mol of atoms
DOS at the Fermi energy	2.57	states/eV/f.u.
E	-5.373	eV per atom
calculated volume	323	Å³/cell
M_tot	0.4	μB per formula unit

```
data_MnAuS2
_chemical_formula_sum 'Mn4 Au4 S8'
_cell_length_a 7.570
_cell_length_b 3.401
_cell_length_c 12.563
_cell_angle_alpha 90.00
_cell_angle_beta 90.00
_cell_angle_gamma 90.00
_symmetry_space_group_name_H-M 'P n m a'
_symmetry_Int_Tables_number 62
_symmetry_space_group_name_Hall '-P 2ac 2n'
loop_
_atom_site_label
_atom_site_fract_x
_atom_site_fract_y
_atom_site_fract_z
Mn1 0.041 0.250 0.074
Au1 0.161 0.250 0.793
S1 0.110 0.250 0.244
S2 0.199 0.750 0.019
```

***

(7)
Material: MnAuS2
Method: DFT, GGA-PBE
State: optimized geometry

Output
raw formation energy	-24	kJ/mol of atoms
DOS at the Fermi energy	1.42	states/eV/f.u.
E	-5.419	eV per atom
calculated volume	189	Å³/cell
M_tot	1.8	μB per formula unit

```
data_MnAuS2
_chemical_formula_sum 'Mn2 Au2 S4'
_cell_length_a 5.217
_cell_length_b 6.656
_cell_length_c 6.679
_cell_angle_alpha 115.34
_cell_angle_beta 104.71
_cell_angle_gamma 101.79
_symmetry_space_group_name_H-M 'P -1'
_symmetry_Int_Tables_number 2
_symmetry_space_group_name_Hall '-P 1'
loop_
_atom_site_label
_atom_site_fract_x
_atom_site_fract_y
_atom_site_fract_z
Mn1 0.240 0.470 0.488
Au1 0.182 0.985 0.369
S1 0.019 0.401 0.705
S2 0.374 0.227 0.231
```

***

(8)
Material: Mn5AuS8
Method: DFT, GGA-PBE
State: optimized geometry

Output
raw formation energy	-46	kJ/mol of atoms
DOS at the Fermi energy	9.63	states/eV/f.u.
E	-6.343	eV per atom
calculated volume	976	Å³/cell
M_tot	14.1	μB per formula unit

```
data_Mn5AuS8
_chemical_formula_sum 'Mn20 Au4 S32'
_cell_length_a 9.918
_cell_length_b 9.918
_cell_length_c 9.918
_cell_angle_alpha 90.00
_cell_angle_beta 90.00
_cell_angle_gamma 90.00
_symmetry_space_group_name_H-M 'F -4 3 m'
_symmetry_Int_Tables_number 216
_symmetry_space_group_name_Hall 'F -4 2 3'
loop_
_atom_site_label
_atom_site_fract_x
_atom_site_fract_y
_atom_site_fract_z
Mn1 0.000 0.000 0.000
Mn2 0.124 0.124 0.376
Au1 0.250 0.250 0.750
S1 0.110 0.110 0.610
S2 0.136 0.136 0.136
```

***

(9)
Material: Mn2SbAuS
Method: DFT, GGA-PBE
State: optimized geometry

Output
raw formation energy	77	kJ/mol of atoms
DOS at the Fermi energy	3.58	states/eV/f.u.
E	-5.177	eV per atom
calculated volume	121	Å³/cell
M_tot	7.9	μB per formula unit

```
data_Mn2SbAuS
_chemical_formula_sum 'Mn2 Sb1 Au1 S1'
_cell_length_a 5.095
_cell_length_b 5.095
_cell_length_c 4.658
_cell_angle_alpha 90.00
_cell_angle_beta 90.00
_cell_angle_gamma 90.00
_symmetry_space_group_name_H-M 'P 4/m m m'
_symmetry_Int_Tables_number 123
_symmetry_space_group_name_Hall '-P 4 2'
loop_
_atom_site_label
_atom_site_fract_x
_atom_site_fract_y
_atom_site_fract_z
Mn1 0.000 0.500 0.000
Sb1 0.000 0.000 0.500
Au1 0.500 0.500 0.000
S1 0.500 0.500 0.500
```

***

(10)
Material: MnSiAuS
Method: DFT, GGA-PBE
State: optimized geometry

Output
raw formation energy	-23	kJ/mol of atoms
DOS at the Fermi energy	0.41	states/eV/f.u.
E	-5.735	eV per atom
energy relative to the lowest polymorph listed for this composition	0	meV per atom
calculated volume	63	Å³/cell
M_tot	0.0	μB per formula unit

```
data_MnSiAuS
_chemical_formula_sum 'Mn1 Si1 Au1 S1'
_cell_length_a 3.0355
_cell_length_b 3.0355
_cell_length_c 7.8463
_cell_angle_alpha 90.00
_cell_angle_beta 90.00
_cell_angle_gamma 120.00
_symmetry_space_group_name_H-M 'P 3 m 1'
_symmetry_Int_Tables_number 156
_symmetry_space_group_name_Hall 'P 3 -2"'
loop_
_atom_site_label
_atom_site_fract_x
_atom_site_fract_y
_atom_site_fract_z
Mn1 0.0000 0.0000 0.0000
Si1 0.3333 0.6667 0.2091
Au1 0.3333 0.6667 0.5123
S1 0.3333 0.6667 0.8308
```

***

(11)
Material: MnSiAuS
Method: DFT, GGA-PBE
State: optimized geometry

Output
raw formation energy	-7	kJ/mol of atoms
DOS at the Fermi energy	2.68	states/eV/f.u.
E	-5.577	eV per atom
energy relative to the lowest polymorph listed for this composition	158	meV per atom
calculated volume	127	Å³/cell
M_tot	0.0	μB per formula unit

```
data_MnSiAuS
_chemical_formula_sum 'Mn2 Si2 Au2 S2'
_cell_length_a 7.522
_cell_length_b 2.819
_cell_length_c 6.220
_cell_angle_alpha 90.00
_cell_angle_beta 105.80
_cell_angle_gamma 90.00
_symmetry_space_group_name_H-M 'C 1 m 1'
_symmetry_Int_Tables_number 8
_symmetry_space_group_name_Hall 'C -2y'
loop_
_atom_site_label
_atom_site_fract_x
_atom_site_fract_y
_atom_site_fract_z
Mn1 0.000 0.000 0.000
Si1 0.076 0.500 0.316
Au1 0.366 0.000 0.561
S1 0.274 0.000 0.942
```

***

(12)
Material: MnSiAuS
Method: DFT, GGA-PBE
State: optimized geometry

Output
raw formation energy	-12	kJ/mol of atoms
DOS at the Fermi energy	1.63	states/eV/f.u.
E	-5.627	eV per atom
energy relative to the lowest polymorph listed for this composition	108	meV per atom
calculated volume	61	Å³/cell
M_tot	0.2	μB per formula unit

```
data_MnSiAuS
_chemical_formula_sum 'Mn1 Si1 Au1 S1'
_cell_length_a 2.810
_cell_length_b 2.810
_cell_length_c 7.694
_cell_angle_alpha 90.00
_cell_angle_beta 90.00
_cell_angle_gamma 90.00
_symmetry_space_group_name_H-M 'P 4 m m'
_symmetry_Int_Tables_number 99
_symmetry_space_group_name_Hall 'P 4 -2'
loop_
_atom_site_label
_atom_site_fract_x
_atom_site_fract_y
_atom_site_fract_z
Mn1 0.000 0.000 0.000
Si1 0.500 0.500 0.202
Au1 0.500 0.500 0.514
S1 0.500 0.500 0.842
```